No. 1
Tb4Er3Rh4: optimized geometry, PBE.

Cell: 3.6464 8.9315 15.9806 Å, 90.00 90.00 90.00°
Last column: nearest neighbours and their distance in Å.
Space group Immm (No. 71)
Unique sites:
1 Tb 0.0000 0.1864 0.1642 (multiplicity 8)  4 Rh 2.77-3.08
2 Er 0.0000 0.0000 0.3986 (multiplicity 4)  6 Rh 2.93-3.10, 1 Er 3.24
3 Er 0.0000 0.5000 0.5000 (multiplicity 2)  4 Rh 3.14
4 Rh 0.0000 0.2859 0.0000 (multiplicity 4)  2 Tb 2.77, 4 Er 3.10
5 Rh 0.0000 0.5000 0.2448 (multiplicity 4)  6 Tb 2.87-3.08, 2 Er 2.93

Energy (eV/atom): -6.23
Energy of formation from the pure elements (eV/atom): -0.63
DOS(E_F) (states/eV/f.u.): 7.18

=====

No. 2
BaBe2Te: optimized geometry, PBE.

Cell: 7.6152 7.6152 7.6152 Å, 90.00 90.00 90.00°
Last column: nearest neighbours and their distance in Å.
Space group F-43m (No. 216)
Unique sites:
1 Ba 0.0000 0.0000 0.0000 (multiplicity 4)  4 Be 3.30, 4 Te 3.30
2 Be 0.0000 0.0000 0.5000 (multiplicity 4)  4 Te 3.30, 4 Be 3.30
3 Be 0.2500 0.2500 0.7500 (multiplicity 4)  4 Be 3.30, 4 Ba 3.30
4 Te 0.2500 0.2500 0.2500 (multiplicity 4)  4 Ba 3.30, 4 Be 3.30

Energy (eV/atom): -2.50
DOS(E_F) (states/eV/f.u.): 4.18